Entry from Alexandria: MgBPt3 after structural relaxation (PBE-GGA).

The structure in POSCAR format:
```
MgBPt3
1.0
-1.2840 3.6873 -3.8186
1.9963 -3.6457 -4.1834
-3.4814 -2.4536 -5.0949
Pt Mg B
6 2 2
direct
0.9923 0.6234 0.6144
0.9807 0.2838 0.1439
0.9807 0.7838 0.1439
0.4733 0.7836 0.1423
0.4733 0.2836 0.1423
0.9923 0.1234 0.6144
0.4566 0.3282 0.6817
0.4566 0.8282 0.6817
0.8158 0.1474 0.9661
0.8158 0.6474 0.9661
```

Output
ΔE_f, meV per atom: -562.6
Total magnetization, μB per cell: 0.000
Energy relative to the lowest polymorph listed for this composition, eV per atom: 0.0219
Crystal system: triclinic
N(E_F), states/eV per cell: 1.861